[1]
{"formula": "LaAlOs2", "functional": "PBE", "state": "optimized geometry", "total_magnetization_mub_per_fu": 0.27, "e_above_lowest_polymorph_mev_per_atom": 391, "formation_energy_kcal_per_mol_atoms": 8.55, "dft_energy_ev_per_cell": -29.65, "spacegroup": "R-3m (166)", "lattice_angstrom": [[9.360, 0.009, 0.005], [8.890, 2.928, 0.005], [8.890, 1.431, 2.555]], "species": ["Os", "Os", "Al", "La"], "fractional_positions": [[0.987, 0.987, 0.987], [0.513, 0.513, 0.513], [0.250, 0.250, 0.250], [0.750, 0.750, 0.750]]}

---

[2]
{"formula": "La2AlOs", "functional": "PBE", "state": "optimized geometry", "total_magnetization_mub_per_fu": 0.00, "formation_energy_kcal_per_mol_atoms": -0.60, "dft_energy_ev_per_cell": -24.93, "spacegroup": "F-43m (216)", "lattice_angstrom": [[4.998, 0.000, 0.000], [2.499, 4.329, 0.000], [2.499, 1.443, 4.081]], "species": ["Os", "Al", "La", "La"], "fractional_positions": [[0.750, 0.750, 0.750], [0.500, 0.500, 0.500], [0.000, 0.000, 0.000], [0.250, 0.250, 0.250]]}

---

[3]
{"formula": "La3Al3Os2", "functional": "PBE", "state": "optimized geometry", "total_magnetization_mub_per_fu": 0.00, "formation_energy_kcal_per_mol_atoms": -8.52, "dft_energy_ev_per_cell": -205.71, "spacegroup": "Pnma (62)", "lattice_angstrom": [[-0.714, -4.799, -3.552], [7.204, 1.293, -3.194], [6.479, -9.065, 10.944]], "species": ["La", "La", "La", "La", "La", "La", "La", "La", "La", "La", "La", "La", "Al", "Al", "Al", "Al", "Al", "Al", "Al", "Al", "Al", "Al", "Al", "Al", "Os", "Os", "Os", "Os", "Os", "Os", "Os", "Os"], "fractional_positions": [[0.091, 0.465, 0.394], [0.591, 0.035, 0.606], [0.909, 0.535, 0.894], [0.409, 0.965, 0.106], [0.909, 0.535, 0.606], [0.409, 0.965, 0.394], [0.091, 0.465, 0.106], [0.591, 0.035, 0.894], [0.603, 0.316, 0.250], [0.103, 0.184, 0.750], [0.397, 0.684, 0.750], [0.897, 0.816, 0.250], [0.085, 0.170, 0.250], [0.585, 0.330, 0.750], [0.915, 0.830, 0.750], [0.415, 0.670, 0.250], [0.592, 0.349, 0.464], [0.092, 0.151, 0.536], [0.408, 0.651, 0.964], [0.908, 0.849, 0.036], [0.408, 0.651, 0.536], [0.908, 0.849, 0.464], [0.592, 0.349, 0.036], [0.092, 0.151, 0.964], [0.866, 0.142, 0.396], [0.366, 0.358, 0.604], [0.134, 0.858, 0.896], [0.634, 0.642, 0.104], [0.134, 0.858, 0.604], [0.634, 0.642, 0.396], [0.866, 0.142, 0.104], [0.366, 0.358, 0.896]]}

---

[4]
{"formula": "LaAlOs2", "functional": "PBE", "state": "optimized geometry", "total_magnetization_mub_per_fu": 0.00, "e_above_lowest_polymorph_mev_per_atom": 481, "formation_energy_kcal_per_mol_atoms": 10.64, "dft_energy_ev_per_cell": -29.28, "spacegroup": "Pmmm (47)", "lattice_angstrom": [[-1.597, 2.677, 0.743], [-3.901, -2.826, 1.800], [1.875, -0.007, 4.052]], "species": ["Os", "Os", "Al", "La"], "fractional_positions": [[0.000, 0.000, 0.000], [0.500, 0.500, 0.000], [0.500, 0.000, 0.500], [0.000, 0.500, 0.500]]}

---

[5]
{"formula": "LaAlOs2", "functional": "PBE", "state": "optimized geometry", "total_magnetization_mub_per_fu": 0.00, "e_above_lowest_polymorph_mev_per_atom": 214, "formation_energy_kcal_per_mol_atoms": 4.46, "dft_energy_ev_per_cell": -30.36, "spacegroup": "Imm2 (44)", "lattice_angstrom": [[-1.717, -0.101, -5.584], [-0.141, -4.966, -3.075], [-1.835, 3.189, 4.539]], "species": ["Os", "Os", "Al", "La"], "fractional_positions": [[0.968, 0.968, 0.000], [0.753, 0.253, 0.500], [0.533, 0.533, 0.000], [0.246, 0.746, 0.500]]}

---

[6]
{"formula": "LaAl2Os2", "functional": "PBE", "state": "optimized geometry", "total_magnetization_mub_per_fu": 0.00, "e_above_lowest_polymorph_mev_per_atom": 53, "formation_energy_kcal_per_mol_atoms": -6.73, "dft_energy_ev_per_cell": -72.66, "spacegroup": "I4/mmm (139)", "lattice_angstrom": [[-0.641, -0.323, -4.019], [2.608, -3.137, -0.164], [-9.535, -5.480, 4.035]], "species": ["La", "La", "Al", "Al", "Al", "Al", "Os", "Os", "Os", "Os"], "fractional_positions": [[0.624, 0.624, 0.248], [0.376, 0.376, 0.752], [0.000, 0.500, 0.000], [0.183, 0.183, 0.366], [0.500, 0.000, 0.000], [0.817, 0.817, 0.634], [0.750, 0.250, 0.500], [0.932, 0.932, 0.864], [0.068, 0.068, 0.136], [0.250, 0.750, 0.500]]}

---

[7]
{"formula": "LaAlOs2", "functional": "PBE", "state": "optimized geometry", "total_magnetization_mub_per_fu": 0.00, "e_above_lowest_polymorph_mev_per_atom": 160, "formation_energy_kcal_per_mol_atoms": 3.24, "dft_energy_ev_per_cell": -30.57, "spacegroup": "Pmmm (47)", "lattice_angstrom": [[-3.047, -0.003, -0.907], [-0.769, -1.742, 2.591], [-1.101, 5.954, 3.677]], "species": ["Os", "Os", "Al", "La"], "fractional_positions": [[0.000, 0.000, 0.059], [0.000, 0.000, 0.441], [0.500, 0.500, 0.250], [0.500, 0.500, 0.750]]}

---

[8]
{"formula": "LaAlOs2", "functional": "PBE", "state": "optimized geometry", "total_magnetization_mub_per_fu": 0.00, "e_above_lowest_polymorph_mev_per_atom": 59, "formation_energy_kcal_per_mol_atoms": 0.89, "dft_energy_ev_per_cell": -30.97, "spacegroup": "Pmm2 (25)", "lattice_angstrom": [[-0.323, -2.482, 1.454], [1.860, -1.750, -2.573], [6.246, 1.311, 3.624]], "species": ["Os", "Os", "Al", "La"], "fractional_positions": [[0.000, 0.000, 0.075], [0.500, 0.500, 0.234], [0.000, 0.000, 0.436], [0.500, 0.500, 0.755]]}

---

[9]
{"formula": "La2AlOs2", "functional": "PBE", "state": "optimized geometry", "total_magnetization_mub_per_fu": 0.00, "formation_energy_kcal_per_mol_atoms": -6.39, "dft_energy_ev_per_cell": -74.88, "spacegroup": "C2/c (15)", "lattice_angstrom": [[5.847, 0.000, 0.000], [-2.924, 5.007, 0.061], [0.000, -2.197, 7.722]], "species": ["La", "La", "La", "La", "Al", "Al", "Os", "Os", "Os", "Os"], "fractional_positions": [[0.501, 0.292, 0.145], [0.209, 0.708, 0.355], [0.499, 0.708, 0.855], [0.791, 0.292, 0.645], [0.903, 0.000, 0.250], [0.097, 0.000, 0.750], [0.707, 0.720, 0.484], [0.987, 0.280, 0.016], [0.293, 0.280, 0.516], [0.013, 0.720, 0.984]]}

---

[10]
{"formula": "La2AlOs", "functional": "PBE", "state": "optimized geometry", "total_magnetization_mub_per_fu": 0.00, "formation_energy_kcal_per_mol_atoms": -5.21, "dft_energy_ev_per_cell": -25.73, "spacegroup": "Amm2 (38)", "lattice_angstrom": [[-1.558, 3.747, 1.717], [-3.914, -1.538, -0.198], [-1.367, -2.954, 5.207]], "species": ["Os", "Al", "La", "La"], "fractional_positions": [[0.000, 0.677, 0.521], [0.500, 0.567, 0.741], [0.000, 0.990, 0.895], [0.500, 0.266, 0.343]]}

---

[11]
{"formula": "La2AlOs", "functional": "PBE", "state": "optimized geometry", "total_magnetization_mub_per_fu": 0.00, "formation_energy_kcal_per_mol_atoms": -1.52, "dft_energy_ev_per_cell": -50.18, "spacegroup": "I-42d (122)", "lattice_angstrom": [[10.436, 0.000, 0.000], [0.000, 10.436, 0.000], [5.218, 5.218, 2.444]], "species": ["Os", "Os", "Al", "Al", "La", "La", "La", "La"], "fractional_positions": [[0.000, 0.000, 0.000], [0.750, 0.250, 0.500], [0.500, 0.500, 0.000], [0.250, 0.750, 0.500], [0.791, 0.125, 0.250], [0.959, 0.625, 0.250], [0.375, 0.209, 0.750], [0.875, 0.041, 0.750]]}

---

[12]
{"formula": "LaAlOs", "functional": "PBE", "state": "optimized geometry", "total_magnetization_mub_per_fu": 0.00, "formation_energy_kcal_per_mol_atoms": -7.25, "dft_energy_ev_per_cell": -41.69, "spacegroup": "Imma (74)", "lattice_angstrom": [[-1.183, 5.531, 0.860], [-1.711, 1.838, 4.853], [3.403, 3.256, 2.771]], "species": ["La", "La", "Al", "Al", "Os", "Os"], "fractional_positions": [[0.856, 0.394, 0.394], [0.144, 0.606, 0.606], [0.000, 0.000, 0.000], [0.500, 0.000, 0.000], [0.500, 0.500, 0.000], [0.500, 0.000, 0.500]]}

---

[13]
{"formula": "LaAlOs2", "functional": "PBE", "state": "optimized geometry", "total_magnetization_mub_per_fu": 0.00, "e_above_lowest_polymorph_mev_per_atom": 161, "formation_energy_kcal_per_mol_atoms": 3.26, "dft_energy_ev_per_cell": -30.56, "spacegroup": "C2/m (12)", "lattice_angstrom": [[-3.010, 2.175, 2.733], [-0.907, 0.633, 4.476], [2.769, 4.958, 1.045]], "species": ["Os", "Os", "Al", "La"], "fractional_positions": [[0.021, 0.021, 0.924], [0.479, 0.479, 0.576], [0.750, 0.750, 0.750], [0.250, 0.250, 0.250]]}

---

[14]
{"formula": "LaAlOs", "functional": "PBE", "state": "optimized geometry", "total_magnetization_mub_per_fu": 0.00, "formation_energy_kcal_per_mol_atoms": -5.41, "dft_energy_ev_per_cell": -20.60, "spacegroup": "P-6m2 (187)", "lattice_angstrom": [[-2.426, 2.867, -2.093], [-1.772, -3.607, 1.528], [-0.841, 1.968, 3.671]], "species": ["Os", "Al", "La"], "fractional_positions": [[0.667, 0.333, 0.833], [0.000, 0.000, 0.833], [0.333, 0.667, 0.334]]}

---

[15]
{"formula": "La2AlOsPb", "functional": "PBE", "state": "optimized geometry", "total_magnetization_mub_per_fu": 0.00, "formation_energy_kcal_per_mol_atoms": -6.73, "dft_energy_ev_per_cell": -30.00, "spacegroup": "P4/mmm (123)", "lattice_angstrom": [[-4.822, -2.127, -1.610], [2.510, -4.745, -1.247], [-0.803, -1.619, 4.543]], "species": ["Pb", "Os", "Al", "La", "La"], "fractional_positions": [[0.500, 0.500, 0.500], [0.000, 0.000, 0.000], [0.000, 0.000, 0.500], [0.000, 0.500, 0.000], [0.500, 0.000, 0.000]]}

---

[16]
{"formula": "LaAl4OsPd2", "functional": "PBE", "state": "optimized geometry", "total_magnetization_mub_per_fu": 0.00, "formation_energy_kcal_per_mol_atoms": -15.50, "dft_energy_ev_per_cell": -46.89, "spacegroup": "R-3m (166)", "lattice_angstrom": [[-3.490, 2.029, -1.376], [-3.106, -2.180, -1.945], [-6.275, -1.524, 7.055]], "species": ["La", "Al", "Al", "Al", "Al", "Os", "Pd", "Pd"], "fractional_positions": [[0.000, 0.000, 0.000], [0.408, 0.408, 0.777], [0.863, 0.863, 0.410], [0.137, 0.137, 0.590], [0.592, 0.592, 0.223], [0.500, 0.500, 0.500], [0.767, 0.767, 0.698], [0.233, 0.233, 0.302]]}

---

[17]
{"formula": "LaAl2OsPd", "functional": "PBE", "state": "optimized geometry", "total_magnetization_mub_per_fu": 1.17, "formation_energy_kcal_per_mol_atoms": 10.02, "dft_energy_ev_per_cell": -26.66, "spacegroup": "P4/mmm (123)", "lattice_angstrom": [[-4.473, 1.097, 0.534], [-1.431, -4.880, -1.961], [0.084, -1.750, 4.293]], "species": ["Os", "Al", "Al", "Pd", "La"], "fractional_positions": [[0.500, 0.500, 0.500], [0.000, 0.000, 0.500], [0.500, 0.000, 0.000], [0.000, 0.000, 0.000], [0.000, 0.500, 0.000]]}

---

[18]
{"formula": "LaAl4Os2Pt", "functional": "PBE", "state": "optimized geometry", "total_magnetization_mub_per_fu": 0.00, "formation_energy_kcal_per_mol_atoms": -12.04, "dft_energy_ev_per_cell": -52.58, "spacegroup": "R-3m (166)", "lattice_angstrom": [[4.272, 0.000, 0.000], [2.136, 3.700, 0.000], [2.136, 1.233, 9.007]], "species": ["La", "Al", "Al", "Al", "Al", "Os", "Os", "Pt"], "fractional_positions": [[0.000, 0.000, 0.000], [0.407, 0.407, 0.780], [0.870, 0.870, 0.391], [0.130, 0.130, 0.609], [0.593, 0.593, 0.220], [0.769, 0.769, 0.694], [0.231, 0.231, 0.306], [0.500, 0.500, 0.500]]}

---

[19]
{"formula": "LaAlOs2Pt", "functional": "PBE", "state": "optimized geometry", "total_magnetization_mub_per_fu": 0.09, "formation_energy_kcal_per_mol_atoms": 29.71, "dft_energy_ev_per_cell": -30.73, "spacegroup": "P4/mmm (123)", "lattice_angstrom": [[4.854, 0.000, 0.000], [0.000, 5.331, 0.000], [0.000, 0.000, 4.854]], "species": ["Os", "Os", "Al", "Pt", "La"], "fractional_positions": [[0.000, 0.000, 0.500], [0.500, 0.000, 0.000], [0.500, 0.500, 0.500], [0.000, 0.000, 0.000], [0.000, 0.500, 0.000]]}

---

[20]
{"formula": "LaAl4OsRh2", "functional": "PBE", "state": "optimized geometry", "total_magnetization_mub_per_fu": 0.00, "formation_energy_kcal_per_mol_atoms": -16.39, "dft_energy_ev_per_cell": -51.52, "spacegroup": "R-3m (166)", "lattice_angstrom": [[-1.770, -3.326, 1.941], [-1.069, -3.437, -2.237], [7.321, -5.788, 1.383]], "species": ["La", "Al", "Al", "Al", "Al", "Os", "Rh", "Rh"], "fractional_positions": [[0.000, 0.000, 0.000], [0.409, 0.409, 0.773], [0.865, 0.865, 0.404], [0.135, 0.135, 0.596], [0.591, 0.591, 0.227], [0.500, 0.500, 0.500], [0.767, 0.767, 0.700], [0.233, 0.233, 0.300]]}